# Mg2PtPb

A relaxed Mg2PtPb crystal (PBE-GGA, Alexandria).

Magnetization: 0.0 μB/f.u.
Energy relative to the elements: -1.3 eV/f.u.
N(E_F): 1.67 states/eV/f.u.

CIF file:
```
data_Mg2PtPb
_chemical_formula_sum 'Mg2 Pt1 Pb1'
_cell_length_a 4.396
_cell_length_b 4.396
_cell_length_c 4.129
_cell_angle_alpha 90.00
_cell_angle_beta 90.00
_cell_angle_gamma 90.00
_space_group_name_H-M_alt 'P 4/m m m'
_space_group_IT_number 123
_space_group_name_Hall '-P 4 2'
loop_
_atom_site_label
_atom_site_type_symbol
_atom_site_fract_x
_atom_site_fract_y
_atom_site_fract_z
_atom_site_occupancy
Mg1 Mg 0.000 0.500 0.000 1
Pt1 Pt 0.000 0.000 0.500 1
Pb1 Pb 0.500 0.500 0.500 1
```



# MgPtPb2

A relaxed MgPtPb2 crystal (PBE-GGA, Alexandria).

Magnetization: 0.0 μB/f.u.
Energy relative to the elements: 0.0 eV/f.u.
N(E_F): 1.28 states/eV/f.u.

CIF file:
```
data_MgPtPb2
_chemical_formula_sum 'Mg4 Pt4 Pb8'
_cell_length_a 7.169
_cell_length_b 7.169
_cell_length_c 7.169
_cell_angle_alpha 90.00
_cell_angle_beta 90.00
_cell_angle_gamma 90.00
_space_group_name_H-M_alt 'F -4 3 m'
_space_group_IT_number 216
_space_group_name_Hall 'F -4 2 3'
loop_
_atom_site_label
_atom_site_type_symbol
_atom_site_fract_x
_atom_site_fract_y
_atom_site_fract_z
_atom_site_occupancy
Mg1 Mg 0.000 0.000 0.000 1
Pt1 Pt 0.250 0.250 0.750 1
Pb1 Pb 0.000 0.000 0.500 1
Pb2 Pb 0.250 0.250 0.250 1
```



# Mg2PtPb

A relaxed Mg2PtPb crystal (PBE-GGA, Alexandria).

Magnetization: 0.0 μB/f.u.
Energy relative to the elements: -1.6 eV/f.u.
N(E_F): 1.35 states/eV/f.u.

CIF file:
```
data_Mg2PtPb
_chemical_formula_sum 'Mg4 Pt2 Pb2'
_cell_length_a 3.076
_cell_length_b 4.507
_cell_length_c 12.964
_cell_angle_alpha 90.00
_cell_angle_beta 90.00
_cell_angle_gamma 90.00
_space_group_name_H-M_alt 'I m m 2'
_space_group_IT_number 44
loop_
_space_group_symop_operation_xyz
'x,y,z'
'-x,-y,z'
'-x,y,z'
'x,-y,z'
'x+1/2,y+1/2,z+1/2'
'-x+1/2,-y+1/2,z+1/2'
'-x+1/2,y+1/2,z+1/2'
'x+1/2,-y+1/2,z+1/2'
loop_
_atom_site_label
_atom_site_type_symbol
_atom_site_fract_x
_atom_site_fract_y
_atom_site_fract_z
_atom_site_occupancy
Mg1 Mg 0.000 0.000 0.000 1
Mg2 Mg 0.000 0.500 0.181 1
Pt1 Pt 0.000 0.000 0.509 1
Pb1 Pb 0.000 0.500 0.810 1
```



# MgPtPb2

A relaxed MgPtPb2 crystal (PBE-GGA, Alexandria).

Magnetization: 0.0 μB/f.u.
Energy relative to the elements: -0.2 eV/f.u.
N(E_F): 2.54 states/eV/f.u.

CIF file:
```
data_MgPtPb2
_chemical_formula_sum 'Mg2 Pt2 Pb4'
_cell_length_a 4.495
_cell_length_b 4.495
_cell_length_c 9.116
_cell_angle_alpha 90.00
_cell_angle_beta 90.00
_cell_angle_gamma 90.00
_space_group_name_H-M_alt 'I -4 m 2'
_space_group_IT_number 119
_space_group_name_Hall 'I -4 -2'
loop_
_atom_site_label
_atom_site_type_symbol
_atom_site_fract_x
_atom_site_fract_y
_atom_site_fract_z
_atom_site_occupancy
Mg1 Mg 0.000 0.000 0.000 1
Pt1 Pt 0.000 0.500 0.250 1
Pb1 Pb 0.000 0.000 0.500 1
Pb2 Pb 0.000 0.500 0.750 1
```



# Mg2PtPb

A relaxed Mg2PtPb crystal (PBE-GGA, Alexandria).

Magnetization: 0.0 μB/f.u.
Energy relative to the elements: -1.2 eV/f.u.
N(E_F): 1.88 states/eV/f.u.

CIF file:
```
data_Mg2PtPb
_chemical_formula_sum 'Mg2 Pt1 Pb1'
_cell_length_a 3.588
_cell_length_b 3.588
_cell_length_c 6.653
_cell_angle_alpha 90.00
_cell_angle_beta 90.00
_cell_angle_gamma 90.00
_space_group_name_H-M_alt 'P 4 m m'
_space_group_IT_number 99
loop_
_space_group_symop_operation_xyz
'x,y,z'
'-y,x,z'
'-x,-y,z'
'y,-x,z'
'-x,y,z'
'y,x,z'
'x,-y,z'
'-y,-x,z'
loop_
_atom_site_label
_atom_site_type_symbol
_atom_site_fract_x
_atom_site_fract_y
_atom_site_fract_z
_atom_site_occupancy
Mg1 Mg 0.000 0.000 0.000 1
Mg2 Mg 0.500 0.500 0.265 1
Pt1 Pt 0.500 0.500 0.861 1
Pb1 Pb 0.000 0.000 0.557 1
```



# MgPtPb2

A relaxed MgPtPb2 crystal (PBE-GGA, Alexandria).

Magnetization: 0.0 μB/f.u.
Energy relative to the elements: -0.7 eV/f.u.
N(E_F): 1.94 states/eV/f.u.

CIF file:
```
data_MgPtPb2
_chemical_formula_sum 'Mg1 Pt1 Pb2'
_cell_length_a 4.081
_cell_length_b 4.313
_cell_length_c 5.774
_cell_angle_alpha 90.00
_cell_angle_beta 110.26
_cell_angle_gamma 90.00
_space_group_name_H-M_alt 'P 1 m 1'
_space_group_IT_number 6
loop_
_space_group_symop_operation_xyz
'x,y,z'
'x,-y,z'
loop_
_atom_site_label
_atom_site_type_symbol
_atom_site_fract_x
_atom_site_fract_y
_atom_site_fract_z
_atom_site_occupancy
Mg1 Mg 0.000 0.000 0.000 1
Pt1 Pt 0.866 0.500 0.720 1
Pb1 Pb 0.287 0.000 0.567 1
Pb2 Pb 0.579 0.500 0.156 1
```